An optimized crystal structure of ErTlFe4, computed with GGA-PBE.

## Properties
Total moment, μB/f.u.: 7.963
Calculated volume, Å³ per cell: 367.7
E, eV per atom: -6.758

Cell and atoms, written as CIF:
```
data_ErTlFe4
_space_group_name_H-M_alt 'F -4 3 m'
_space_group_IT_number 216
_space_group_name_Hall 'F -4 2 3'
_cell_length_a 7.164
_cell_length_b 7.164
_cell_length_c 7.164
_cell_angle_alpha 90.00
_cell_angle_beta 90.00
_cell_angle_gamma 90.00
loop_
_atom_site_label
_atom_site_fract_x
_atom_site_fract_y
_atom_site_fract_z
Er1 0.000 0.000 0.000
Tl1 0.250 0.250 0.750
Fe1 0.125 0.125 0.375
```

An optimized crystal structure of Al3AgS, computed with GGA-PBE.

## Properties
Distance to the lowest polymorph of the same formula, eV/f.u.: 0.000
Total moment, μB/f.u.: 0.000
Calculated volume, Å³ per cell: 112.3
E, eV per atom: -3.277
Energy relative to the elements, uncorrected, kcal/mol of atoms: 8.40

Cell and atoms, written as CIF:
```
data_Al3AgS
_space_group_name_H-M_alt 'P m -3 m'
_space_group_IT_number 221
_space_group_name_Hall '-P 4 2 3'
_cell_length_a 4.825
_cell_length_b 4.825
_cell_length_c 4.825
_cell_angle_alpha 90.00
_cell_angle_beta 90.00
_cell_angle_gamma 90.00
loop_
_atom_site_label
_atom_site_fract_x
_atom_site_fract_y
_atom_site_fract_z
Al1 0.000 0.000 0.500
Ag1 0.000 0.000 0.000
S1 0.500 0.500 0.500
```

Copy entry 1 word for word.
An optimized crystal structure of ErTlFe4, computed with GGA-PBE.

## Properties
Total moment, μB/f.u.: 7.963
Calculated volume, Å³ per cell: 367.7
E, eV per atom: -6.758

Cell and atoms, written as CIF:
```
data_ErTlFe4
_space_group_name_H-M_alt 'F -4 3 m'
_space_group_IT_number 216
_space_group_name_Hall 'F -4 2 3'
_cell_length_a 7.164
_cell_length_b 7.164
_cell_length_c 7.164
_cell_angle_alpha 90.00
_cell_angle_beta 90.00
_cell_angle_gamma 90.00
loop_
_atom_site_label
_atom_site_fract_x
_atom_site_fract_y
_atom_site_fract_z
Er1 0.000 0.000 0.000
Tl1 0.250 0.250 0.750
Fe1 0.125 0.125 0.375
```

The lowest E belongs to which entry? ErTlFe4